1.
# AlV8H6, optimized geometry, DFT PBE
# - calculated density (g cm⁻³) = 5.38
# - DFT total energy (hartree per atom) = -0.242
# - N(E_F) (states/eV/atom) = 0.584
data_AlV8H6
_cell_length_a 7.7464
_cell_length_b 7.7464
_cell_length_c 2.6144
_cell_angle_alpha 90.00
_cell_angle_beta 90.00
_cell_angle_gamma 120.00
_symmetry_space_group_name_H-M 'P -3'
_symmetry_Int_Tables_number 147
loop_
_symmetry_equiv_pos_as_xyz
'x,y,z'
'-x,-y,-z'
'-y,x-y,z'
'y,-x+y,-z'
'-x+y,-x,z'
'x-y,x,-z'
loop_
_atom_site_label
_atom_site_fract_x
_atom_site_fract_y
_atom_site_fract_z
_atom_site_occupancy
Al1 0.0000 0.0000 0.0000 1
V1 0.0275 0.3404 0.6946 1
V2 0.3333 0.6667 0.3389 1
H1 0.1637 0.6883 0.7905 1

2.
# BaCoAg3, optimized geometry, DFT PBE
# - calculated density (g cm⁻³) = 3.95
# - DFT total energy (hartree per atom) = -0.070
# - N(E_F) (states/eV/atom) = 1.061
data_BaCoAg3
_cell_length_a 6.022
_cell_length_b 6.022
_cell_length_c 6.022
_cell_angle_alpha 90.00
_cell_angle_beta 90.00
_cell_angle_gamma 90.00
_symmetry_space_group_name_H-M 'P m -3 m'
_symmetry_Int_Tables_number 221
_symmetry_space_group_name_Hall '-P 4 2 3'
loop_
_atom_site_label
_atom_site_fract_x
_atom_site_fract_y
_atom_site_fract_z
_atom_site_occupancy
Ba1 0.000 0.000 0.000 1
Co1 0.500 0.500 0.500 1
Ag1 0.000 0.000 0.500 1

3.
# NdIrSe, optimized geometry, DFT PBE
# - calculated density (g cm⁻³) = 9.84
# - raw formation energy (eV/f.u.) = -1.1
# - DFT total energy (hartree per atom) = -0.223
# - N(E_F) (states/eV/atom) = 0.755
data_NdIrSe
_cell_length_a 10.788
_cell_length_b 3.812
_cell_length_c 6.821
_cell_angle_alpha 90.00
_cell_angle_beta 90.00
_cell_angle_gamma 90.00
_symmetry_space_group_name_H-M 'A m m 2'
_symmetry_Int_Tables_number 38
loop_
_symmetry_equiv_pos_as_xyz
'x,y,z'
'-x,-y,z'
'-x,y,z'
'x,-y,z'
'x,y+1/2,z+1/2'
'-x,-y+1/2,z+1/2'
'-x,y+1/2,z+1/2'
'x,-y+1/2,z+1/2'
loop_
_atom_site_label
_atom_site_fract_x
_atom_site_fract_y
_atom_site_fract_z
_atom_site_occupancy
Nd1 0.171 0.000 0.000 1
Ir1 0.000 0.000 0.670 1
Ir2 0.500 0.000 0.968 1
Se1 0.365 0.000 0.667 1

4.
# CdAs2Ru, optimized geometry, DFT PBE
# - calculated density (g cm⁻³) = 8.51
# - DFT total energy (hartree per atom) = -0.159
# - N(E_F) (states/eV/atom) = 0.878
data_CdAs2Ru
_cell_length_a 6.570
_cell_length_b 6.570
_cell_length_c 6.570
_cell_angle_alpha 90.00
_cell_angle_beta 90.00
_cell_angle_gamma 90.00
_symmetry_space_group_name_H-M 'F -4 3 m'
_symmetry_Int_Tables_number 216
_symmetry_space_group_name_Hall 'F -4 2 3'
loop_
_atom_site_label
_atom_site_fract_x
_atom_site_fract_y
_atom_site_fract_z
_atom_site_occupancy
Cd1 0.000 0.000 0.000 1
As1 0.000 0.000 0.500 1
As2 0.250 0.250 0.750 1
Ru1 0.250 0.250 0.250 1

5.
# KCdW2, optimized geometry, DFT PBE
# - calculated density (g cm⁻³) = 10.95
# - DFT total energy (hartree per atom) = -0.201
# - N(E_F) (states/eV/atom) = 1.165
data_KCdW2
_cell_length_a 6.804
_cell_length_b 6.804
_cell_length_c 6.804
_cell_angle_alpha 90.00
_cell_angle_beta 90.00
_cell_angle_gamma 90.00
_symmetry_space_group_name_H-M 'F -4 3 m'
_symmetry_Int_Tables_number 216
_symmetry_space_group_name_Hall 'F -4 2 3'
loop_
_atom_site_label
_atom_site_fract_x
_atom_site_fract_y
_atom_site_fract_z
_atom_site_occupancy
K1 0.000 0.000 0.000 1
Cd1 0.250 0.250 0.250 1
W1 0.000 0.000 0.500 1
W2 0.250 0.250 0.750 1

6.
# Fe3NiPt, optimized geometry, DFT PBE
# - calculated density (g cm⁻³) = 9.03
# - DFT total energy (hartree per atom) = -0.242
# - N(E_F) (states/eV/atom) = 0.853
data_Fe3NiPt
_cell_length_a 4.263
_cell_length_b 4.263
_cell_length_c 4.263
_cell_angle_alpha 90.00
_cell_angle_beta 90.00
_cell_angle_gamma 90.00
_symmetry_space_group_name_H-M 'P m -3 m'
_symmetry_Int_Tables_number 221
_symmetry_space_group_name_Hall '-P 4 2 3'
loop_
_atom_site_label
_atom_site_fract_x
_atom_site_fract_y
_atom_site_fract_z
_atom_site_occupancy
Fe1 0.000 0.000 0.500 1
Ni1 0.000 0.000 0.000 1
Pt1 0.500 0.500 0.500 1

7.
# LiAg2As, optimized geometry, DFT PBE
# - calculated density (g cm⁻³) = 7.05
# - DFT total energy (hartree per atom) = -0.117
# - N(E_F) (states/eV/atom) = 0.084
data_LiAg2As
_cell_length_a 2.844
_cell_length_b 4.837
_cell_length_c 5.097
_cell_angle_alpha 90.00
_cell_angle_beta 90.86
_cell_angle_gamma 90.00
_symmetry_space_group_name_H-M 'P 1 2/m 1'
_symmetry_Int_Tables_number 10
loop_
_symmetry_equiv_pos_as_xyz
'x,y,z'
'-x,-y,-z'
'-x,y,-z'
'x,-y,z'
loop_
_atom_site_label
_atom_site_fract_x
_atom_site_fract_y
_atom_site_fract_z
_atom_site_occupancy
Li1 0.000 0.000 0.000 1
Ag1 0.267 0.500 0.756 1
As1 0.500 0.000 0.500 1

8.
# YMgAl2Hg, optimized geometry, DFT PBE
# - calculated density (g cm⁻³) = 4.72
# - DFT total energy (hartree per atom) = -0.105
# - N(E_F) (states/eV/atom) = 0.689
data_YMgAl2Hg
_cell_length_a 5.052
_cell_length_b 5.052
_cell_length_c 5.074
_cell_angle_alpha 90.00
_cell_angle_beta 90.00
_cell_angle_gamma 90.00
_symmetry_space_group_name_H-M 'P 4/m m m'
_symmetry_Int_Tables_number 123
_symmetry_space_group_name_Hall '-P 4 2'
loop_
_atom_site_label
_atom_site_fract_x
_atom_site_fract_y
_atom_site_fract_z
_atom_site_occupancy
Y1 0.000 0.000 0.000 1
Mg1 0.500 0.500 0.000 1
Al1 0.000 0.500 0.500 1
Hg1 0.500 0.500 0.500 1

9.
# Sr2Pd3O8, optimized geometry, DFT PBE
# - calculated density (g cm⁻³) = 5.54
# - raw formation energy (eV/f.u.) = -15.8
# - DFT total energy (hartree per atom) = -0.210
data_Sr2Pd3O8
_cell_length_a 11.679
_cell_length_b 6.336
_cell_length_c 5.368
_cell_angle_alpha 90.00
_cell_angle_beta 109.97
_cell_angle_gamma 90.00
_symmetry_space_group_name_H-M 'C 1 2/m 1'
_symmetry_Int_Tables_number 12
loop_
_symmetry_equiv_pos_as_xyz
'x,y,z'
'-x,-y,-z'
'-x,y,-z'
'x,-y,z'
'x+1/2,y+1/2,z'
'-x+1/2,-y+1/2,-z'
'-x+1/2,y+1/2,-z'
'x+1/2,-y+1/2,z'
loop_
_atom_site_label
_atom_site_fract_x
_atom_site_fract_y
_atom_site_fract_z
_atom_site_occupancy
Sr1 0.219 0.000 0.163 1
Pd1 0.000 0.248 0.500 1
Pd2 0.000 0.500 0.000 1
O1 0.094 0.500 0.403 1
O2 0.100 0.000 0.456 1
O3 0.102 0.280 0.891 1

10.
# MnMo3Br, optimized geometry, DFT PBE
# - calculated density (g cm⁻³) = 7.45
# - raw formation energy (eV/f.u.) = 7.3
# - DFT total energy (hartree per atom) = -0.265
# - N(E_F) (states/eV/atom) = 1.397
data_MnMo3Br
_cell_length_a 4.550
_cell_length_b 4.550
_cell_length_c 4.550
_cell_angle_alpha 90.00
_cell_angle_beta 90.00
_cell_angle_gamma 90.00
_symmetry_space_group_name_H-M 'P m -3 m'
_symmetry_Int_Tables_number 221
_symmetry_space_group_name_Hall '-P 4 2 3'
loop_
_atom_site_label
_atom_site_fract_x
_atom_site_fract_y
_atom_site_fract_z
_atom_site_occupancy
Mn1 0.000 0.000 0.000 1
Mo1 0.000 0.000 0.500 1
Br1 0.500 0.500 0.500 1

11.
# BaPtSe2, optimized geometry, DFT PBE
# - calculated density (g cm⁻³) = 6.72
# - raw formation energy (eV/f.u.) = -1.5
# - DFT total energy (hartree per atom) = -0.151
# - N(E_F) (states/eV/atom) = 1.225
data_BaPtSe2
_cell_length_a 3.9469
_cell_length_b 3.9469
_cell_length_c 26.9256
_cell_angle_alpha 90.00
_cell_angle_beta 90.00
_cell_angle_gamma 120.00
_symmetry_space_group_name_H-M 'R -3 m'
_symmetry_Int_Tables_number 166
_symmetry_space_group_name_Hall '-R 3 2"'
loop_
_atom_site_label
_atom_site_fract_x
_atom_site_fract_y
_atom_site_fract_z
_atom_site_occupancy
Ba1 0.0000 0.0000 0.0000 1
Pt1 0.0000 0.0000 0.5000 1
Se1 0.0000 0.0000 0.1208 1

12.
# LiSm3Tm2S6, optimized geometry, DFT PBE
# - calculated density (g cm⁻³) = 6.45
# - raw formation energy (eV/f.u.) = -23.4
# - DFT total energy (hartree per atom) = -0.224
# - N(E_F) (states/eV/atom) = 0.366
data_LiSm3Tm2S6
_cell_length_a 6.738
_cell_length_b 11.705
_cell_length_c 6.840
_cell_angle_alpha 90.00
_cell_angle_beta 109.29
_cell_angle_gamma 90.00
_symmetry_space_group_name_H-M 'C 1 2/m 1'
_symmetry_Int_Tables_number 12
loop_
_symmetry_equiv_pos_as_xyz
'x,y,z'
'-x,-y,-z'
'-x,y,-z'
'x,-y,z'
'x+1/2,y+1/2,z'
'-x+1/2,-y+1/2,-z'
'-x+1/2,y+1/2,-z'
'x+1/2,-y+1/2,z'
loop_
_atom_site_label
_atom_site_fract_x
_atom_site_fract_y
_atom_site_fract_z
_atom_site_occupancy
Li1 0.000 0.000 0.000 1
Sm1 0.000 0.165 0.500 1
Sm2 0.000 0.500 0.500 1
Tm1 0.000 0.334 0.000 1
S1 0.242 0.165 0.234 1
S2 0.249 0.500 0.230 1